[1]
Material: ZnRh3
Method: DFT, SCAN
State: PBEsol geometry

Cell lengths 2.673, 4.608, 4.608 Å; angles 109.84, 90.00, 90.00 degrees
Fractional coordinates of all 4 atoms:
Zn 0.000 0.500 0.500
Rh 0.000 0.000 0.000
Rh 0.500 0.000 0.500
Rh 0.500 0.500 0.000

Summary:
Symmetry: Cmmm
Spin magnetization: 0.000 μB per formula unit
Calculated formation energy: -0.15 eV/atom
ρ: 11.64 g cm⁻³
Crystal system: orthorhombic
DFT total energy: -28.85 eV per atom

[2]
Material: Zn5Rh4
Method: DFT, SCAN
State: PBEsol geometry

Cell lengths 3.854, 5.883, 5.883 Å; angles 83.84, 70.88, 70.88 degrees
Fractional coordinates of all 9 atoms:
Rh 0.673 0.327 0.327
Rh 0.327 0.673 0.673
Rh 0.000 0.327 0.673
Rh 0.000 0.673 0.327
Zn 0.000 0.000 0.000
Zn 0.670 0.661 0.000
Zn 0.330 0.000 0.339
Zn 0.670 0.000 0.661
Zn 0.330 0.339 0.000

Summary:
Symmetry: I4/mmm
Spin magnetization: 0.000 μB per formula unit
Calculated formation energy: -0.32 eV/atom
E above lowest polymorph: 0.008 eV per atom
ρ: 10.30 g cm⁻³
Crystal system: tetragonal
DFT total energy: -22.84 eV per atom

[3]
Material: ZnRh3
Method: DFT, SCAN
State: PBEsol geometry

Cell lengths 2.699, 3.735, 5.300 Å; angles 90.00, 90.00, 90.00 degrees
Fractional coordinates of all 4 atoms:
Zn 0.500 0.500 0.000
Rh 0.000 0.000 0.750
Rh 0.000 0.000 0.250
Rh 0.500 0.500 0.500

Summary:
Symmetry: Pmmm
Spin magnetization: 0.000 μB per formula unit
Calculated formation energy: -0.13 eV/atom
ρ: 11.63 g cm⁻³
Crystal system: orthorhombic
DFT total energy: -28.84 eV per atom

[4]
Material: ZnRh2
Method: DFT, SCAN
State: PBEsol geometry

Cell lengths 2.704, 5.020, 6.364 Å; angles 105.13, 90.00, 105.63 degrees
Fractional coordinates of all 6 atoms:
Zn 0.472 0.943 0.195
Zn 0.528 0.057 0.805
Rh 0.805 0.610 0.863
Rh 0.195 0.390 0.137
Rh 0.861 0.722 0.479
Rh 0.139 0.278 0.521

Summary:
Symmetry: C2/m
Spin magnetization: 0.001 μB per formula unit
Calculated formation energy: -0.20 eV/atom
ρ: 11.25 g cm⁻³
Crystal system: monoclinic
DFT total energy: -27.22 eV per atom

[5]
Material: Zn3Rh
Method: DFT, SCAN
State: PBEsol geometry

Cell lengths 2.764, 2.764, 8.271 Å; angles 90.00, 90.00, 120.00 degrees
Fractional coordinates of all 4 atoms:
Rh 0.000 0.000 0.000
Zn 0.000 0.000 0.500
Zn 0.667 0.333 0.756
Zn 0.667 0.333 0.244

Summary:
Symmetry: P-6m2
Spin magnetization: 0.000 μB per formula unit
Calculated formation energy: -0.16 eV/atom
ρ: 9.07 g cm⁻³
Crystal system: hexagonal
DFT total energy: -18.74 eV per atom

[6]
Material: ZrZn4Rh
Method: DFT, SCAN
State: PBEsol geometry

Cell lengths 4.957, 4.957, 4.957 Å; angles 60.00, 60.00, 60.00 degrees
Fractional coordinates of all 6 atoms:
Zn 0.375 0.375 0.375
Zn 0.375 0.375 0.876
Zn 0.876 0.375 0.375
Zn 0.375 0.876 0.375
Rh 0.000 0.000 0.000
Zr 0.750 0.750 0.750

Summary:
Symmetry: F-43m
Spin magnetization: 1.037 μB per formula unit
Calculated formation energy: -0.40 eV/atom
ρ: 8.79 g cm⁻³
Crystal system: cubic
DFT total energy: -20.16 eV per atom

What is the ρ in the first record?
11.64 g cm⁻³